Na2SrPb | PBE | optimized geometry

Symmetry = R-3m (166)
Formation energy = 8.8 kJ/mol of atoms

Unit cell a=3.804 b=3.804 c=38.101 alpha=90.00 beta=90.00 gamma=120.00
Atoms (fractional coordinates):
Na 0.000 0.000 0.099
Na 0.000 0.000 0.901
Na 0.333 0.667 0.568
Na 0.333 0.667 0.765
Na 0.667 0.333 0.235
Na 0.667 0.333 0.432
Sr 0.000 0.000 0.000
Sr 0.333 0.667 0.667
Sr 0.667 0.333 0.333
Pb 0.000 0.000 0.500
Pb 0.333 0.667 0.167
Pb 0.667 0.333 0.833